Version 1
First-principles (PBE) data for crystalline La2IrBr at its relaxed geometry, as listed in the Alexandria database.

a = 4.1987 Å, b = 4.1987 Å, c = 24.0799 Å
α = 90.00°, β = 90.00°, γ = 120.00°
Space group R3m (No. 160, hexagonal axes)
Symmetry-distinct sites (fractional):
La 0.0000 0.0000 0.0000 (multiplicity 3)
La 0.0000 0.0000 0.2049 (multiplicity 3)
Ir 0.0000 0.0000 0.6025 (multiplicity 3)
Br 0.0000 0.0000 0.4328 (multiplicity 3)

Calculated values
Crystal system = trigonal
Size of the total moment = 0.000 μB/f.u.
N(E_F) = 0.426 states/eV per atom

---

Version 2
First-principles (PBE) data for crystalline La2IrBr at its relaxed geometry, as listed in the Alexandria database.

a = 4.401 Å, b = 6.235 Å, c = 7.873 Å
α = 90.00°, β = 90.00°, γ = 90.00°
Space group Immm (No. 71)
Symmetry-distinct sites (fractional):
La 0.000 0.000 0.230 (multiplicity 4)
Ir 0.000 0.500 0.500 (multiplicity 2)
Br 0.000 0.500 0.000 (multiplicity 2)

Calculated values
Crystal system = orthorhombic
Size of the total moment = 0.000 μB/f.u.
N(E_F) = 0.599 states/eV per atom

---

Version 3
First-principles (PBE) data for crystalline La2IrBr at its relaxed geometry, as listed in the Alexandria database.

a = 7.286 Å, b = 7.286 Å, c = 7.286 Å
α = 90.00°, β = 90.00°, γ = 90.00°
Space group F-43m (No. 216)
Symmetry-distinct sites (fractional):
La 0.000 0.000 0.000 (multiplicity 4)
La 0.250 0.250 0.250 (multiplicity 4)
Ir 0.000 0.000 0.500 (multiplicity 4)
Br 0.250 0.250 0.750 (multiplicity 4)

Calculated values
Crystal system = cubic
Size of the total moment = 0.000 μB/f.u.
N(E_F) = 0.787 states/eV per atom

---

Winner for stability: version 1